[1]
{
  "formula": "SiSnO3",
  "functional": "GGA-PBE",
  "state": "optimized geometry",
  "cell": [[3.678, 0.000, 0.000], [0.000, 3.678, 0.000], [0.000, 0.000, 3.678]],
  "species": ["Si", "Sn", "O", "O", "O"],
  "frac_coords": [[0.000, 0.000, 0.000], [0.500, 0.500, 0.500], [0.000, 0.000, 0.500], [0.000, 0.500, 0.000], [0.500, 0.000, 0.000]],
  "e_form_raw_mev_per_atom": -1701.8,
  "spacegroup": "Pm-3m, No. 221"
}


[2]
{
  "formula": "Ce2CdPd6",
  "functional": "GGA-PBE",
  "state": "optimized geometry",
  "cell": [[5.731, 0.000, 0.000], [-2.866, 4.964, 0.000], [0.000, 0.000, 6.302]],
  "species": ["Ce", "Ce", "Cd", "Pd", "Pd", "Pd", "Pd", "Pd", "Pd"],
  "frac_coords": [[0.333, 0.667, 0.278], [0.667, 0.333, 0.722], [0.000, 0.000, 0.500], [0.174, 0.347, 0.826], [0.174, 0.826, 0.826], [0.347, 0.174, 0.174], [0.653, 0.826, 0.826], [0.826, 0.174, 0.174], [0.826, 0.653, 0.174]],
  "formation_enthalpy_0k_ev_per_atom": -0.611,
  "spacegroup": "P-3m1, No. 164"
}


[3]
{
  "formula": "Li2MgTc",
  "functional": "GGA-PBE",
  "state": "optimized geometry",
  "cell": [[2.592, 0.000, 0.000], [0.000, 4.513, 0.000], [-1.035, 0.000, 5.455]],
  "species": ["Li", "Li", "Mg", "Tc"],
  "frac_coords": [[0.000, 0.000, 0.000], [0.123, 0.500, 0.758], [0.771, 0.500, 0.290], [0.410, 0.000, 0.510]],
  "formation_enthalpy_0k_ev_per_atom": 0.258,
  "spacegroup": "Pm, No. 6"
}


[4]
{
  "formula": "Pa2GaHgO8",
  "functional": "GGA-PBE",
  "state": "optimized geometry",
  "cell": [[3.441, -3.375, 0.000], [3.441, 3.375, 0.000], [-0.012, 0.000, 7.264]],
  "species": ["Pa", "Pa", "Ga", "Hg", "O", "O", "O", "O", "O", "O", "O", "O"],
  "frac_coords": [[0.000, 0.000, 0.241], [0.000, 0.000, 0.759], [0.500, 0.500, 0.000], [0.500, 0.500, 0.500], [0.189, 0.811, 0.500], [0.199, 0.801, 0.000], [0.303, 0.303, 0.212], [0.303, 0.303, 0.788], [0.697, 0.697, 0.212], [0.697, 0.697, 0.788], [0.801, 0.199, 0.000], [0.811, 0.189, 0.500]],
  "e_form_raw_mev_per_atom": -2374.2,
  "spacegroup": "C2/m, No. 12"
}


- What is the formula in the third record?
  Li2MgTc